# 1
# Pr3Zn2In3

A geometry-optimized Pr3Zn2In3 structure (PBE, the Alexandria database).

Energy above the lowest structure with this stoichiometry = 0.0 meV per atom
Total energy = -3.578 eV/atom

Lattice parameters (Å, degrees): 6.130 6.130 15.784 90.00 90.00 134.45
Element x y z (fractional)
1 Pr 0.090 0.910 0.610
2 Pr 0.090 0.910 0.890
3 Pr 0.363 0.637 0.750
4 Pr 0.637 0.363 0.250
5 Pr 0.910 0.090 0.110
6 Pr 0.910 0.090 0.390
7 Zn 0.206 0.794 0.102
8 Zn 0.206 0.794 0.398
9 Zn 0.794 0.206 0.602
10 Zn 0.794 0.206 0.898
11 In 0.344 0.656 0.250
12 In 0.380 0.620 0.539
13 In 0.380 0.620 0.961
14 In 0.620 0.380 0.039
15 In 0.620 0.380 0.461
16 In 0.656 0.344 0.750

***

# 2
# Pr3Zn2In3

A geometry-optimized Pr3Zn2In3 structure (PBE, the Alexandria database).

Energy above the lowest structure with this stoichiometry = 56.1 meV per atom
Total energy = -3.522 eV/atom

Lattice parameters (Å, degrees): 7.842 7.842 4.034 90.00 90.00 120.00
Element x y z (fractional)
1 Pr 0.000 0.603 0.000
2 Pr 0.397 0.397 0.000
3 Pr 0.603 0.000 0.000
4 Zn 0.333 0.667 0.500
5 Zn 0.667 0.333 0.500
6 In 0.000 0.241 0.500
7 In 0.241 0.000 0.500
8 In 0.759 0.759 0.500

***

# 3
# PrZnIn2

A geometry-optimized PrZnIn2 structure (PBE, the Alexandria database).

Total energy = -3.258 eV/atom

Lattice parameters (Å, degrees): 4.608 4.608 4.651 90.00 90.00 90.00
Element x y z (fractional)
1 Pr 0.000 0.000 0.000
2 Zn 0.500 0.500 0.000
3 In 0.000 0.500 0.500
4 In 0.500 0.000 0.500

***

# 4
# Pr7Zn4In

A geometry-optimized Pr7Zn4In structure (PBE, the Alexandria database).

Total energy = -3.570 eV/atom

Lattice parameters (Å, degrees): 7.758 7.758 9.366 117.87 117.87 45.09
Element x y z (fractional)
1 Pr 0.000 0.000 0.000
2 Pr 0.224 0.224 0.685
3 Pr 0.312 0.312 0.118
4 Pr 0.427 0.427 0.598
5 Pr 0.573 0.573 0.402
6 Pr 0.688 0.688 0.882
7 Pr 0.776 0.776 0.315
8 Zn 0.015 0.015 0.676
9 Zn 0.187 0.187 0.339
10 Zn 0.813 0.813 0.661
11 Zn 0.985 0.985 0.324
12 In 0.500 0.500 0.000

***

# 5
# Pr4Zn3In

A geometry-optimized Pr4Zn3In structure (PBE, the Alexandria database).

Total energy = -3.548 eV/atom

Lattice parameters (Å, degrees): 9.257 9.257 9.257 33.37 33.37 33.37
Element x y z (fractional)
1 Pr 0.121 0.121 0.121
2 Pr 0.370 0.370 0.370
3 Pr 0.630 0.630 0.630
4 Pr 0.879 0.879 0.879
5 Zn 0.000 0.000 0.000
6 Zn 0.248 0.248 0.248
7 Zn 0.752 0.752 0.752
8 In 0.500 0.500 0.500

***

# 6
# PrZrZnIn

A geometry-optimized PrZrZnIn structure (PBE, the Alexandria database).

Total energy = -4.553 eV/atom

Lattice parameters (Å, degrees): 7.272 7.272 7.272 90.00 90.00 90.00
Element x y z (fractional)
1 Pr 0.000 0.000 0.000
2 Pr 0.000 0.500 0.500
3 Pr 0.500 0.000 0.500
4 Pr 0.500 0.500 0.000
5 Zr 0.000 0.000 0.500
6 Zr 0.000 0.500 0.000
7 Zr 0.500 0.000 0.000
8 Zr 0.500 0.500 0.500
9 Zn 0.250 0.250 0.250
10 Zn 0.250 0.750 0.750
11 Zn 0.750 0.250 0.750
12 Zn 0.750 0.750 0.250
13 In 0.250 0.250 0.750
14 In 0.250 0.750 0.250
15 In 0.750 0.250 0.250
16 In 0.750 0.750 0.750

***

| no. | energy of formation (eV/atom) |
| --- | --- |
| 1 | -0.440 |
| 2 | -0.384 |
| 3 | -0.376 |
| 4 | -0.129 |
| 5 | -0.339 |
| 6 | -0.218 |